## Sm2Ga2Ag3 (GGA-PBE)

Data for a relaxed Sm2Ga2Ag3 crystal.

Final energy: -52.49 eV/cell
DFT formation energy: -315 meV per atom
Crystal system: orthorhombic
Calculated volume: 313 Å³ per cell
Total magnetization: 0.000 μB/atom
ΔE to the lowest computed polymorph: 16.5 meV per atom
Space group: Cmcm

abc: 4.361 7.140 10.281
angles: 90.00 102.24 90.00
Positions (direct):
Sm  0.162  0.250  0.324
Sm  0.838  0.750  0.676
Sm  0.946  0.250  0.892
Sm  0.054  0.750  0.108
Ga  0.689  0.944  0.377
Ga  0.311  0.056  0.623
Ga  0.311  0.444  0.623
Ga  0.689  0.556  0.377
Ag  0.221  0.750  0.441
Ag  0.779  0.250  0.559
Ag  0.563  0.440  0.127
Ag  0.437  0.560  0.873
Ag  0.437  0.940  0.873
Ag  0.563  0.060  0.127